1.
TeIrRhN2 | GGA-PBE | optimized geometry

Output
SG   P4/mmm, No. 123
Energy above the most stable polymorph in this dataset   440.8 meV/atom
Spin magnetization   0.43 μB per cell
Formation energy without anion corrections   1332 meV/atom

Lattice parameters (Å, degrees): 3.7503 3.7503 6.3854 90.00 90.00 90.00
Sites, in units of the cell vectors:
Ir1 0.5000 0.5000 0.5000
N1 0.5000 0.0000 0.0000
Te1 0.0000 0.0000 0.5000
Rh1 0.0000 0.0000 0.0000
N2 0.0000 0.5000 0.0000

2.
Pm5CdGa3 | GGA-PBE | optimized geometry

Output
SG   P6_3/mcm, No. 193
E_form   -0.43 eV per atom
Spin magnetization   0.00 μB per cell

Lattice parameters (Å, degrees): 6.5831 9.1832 9.1820 120.00 90.00 90.00
Sites, in units of the cell vectors:
Pm1 0.2500 0.9999 0.6983
Pm2 0.5000 0.3334 0.6669
Cd1 0.0000 0.0000 0.0000
Pm3 0.0000 0.3334 0.6669
Pm4 0.0000 0.6666 0.3331
Pm5 0.7500 0.3016 0.0000
Pm6 0.5000 0.6666 0.3331
Ga1 0.7500 0.3626 0.3626
Pm7 0.2500 0.3016 0.3017
Pm8 0.7500 0.0001 0.3017
Ga2 0.7500 0.0000 0.6374
Ga3 0.7500 0.6374 0.0000
Ga4 0.2500 0.0000 0.3626
Ga5 0.2500 0.3626 0.0000
Pm9 0.2500 0.6984 0.0000
Ga6 0.2500 0.6374 0.6374
Pm10 0.7500 0.6984 0.6983
Cd2 0.5000 0.0000 0.0000

What did the first record say?
TeIrRhN2 | GGA-PBE | optimized geometry

Output
SG   P4/mmm, No. 123
Energy above the most stable polymorph in this dataset   440.8 meV/atom
Spin magnetization   0.43 μB per cell
Formation energy without anion corrections   1332 meV/atom

Lattice parameters (Å, degrees): 3.7503 3.7503 6.3854 90.00 90.00 90.00
Sites, in units of the cell vectors:
Ir1 0.5000 0.5000 0.5000
N1 0.5000 0.0000 0.0000
Te1 0.0000 0.0000 0.5000
Rh1 0.0000 0.0000 0.0000
N2 0.0000 0.5000 0.0000

Question: Among the records above, which one has the highest spin magnetization?
Answer: TeIrRhN2

Please write out number 1 again, unchanged.
TeIrRhN2 | GGA-PBE | optimized geometry

Output
SG   P4/mmm, No. 123
Energy above the most stable polymorph in this dataset   440.8 meV/atom
Spin magnetization   0.43 μB per cell
Formation energy without anion corrections   1332 meV/atom

Lattice parameters (Å, degrees): 3.7503 3.7503 6.3854 90.00 90.00 90.00
Sites, in units of the cell vectors:
Ir1 0.5000 0.5000 0.5000
N1 0.5000 0.0000 0.0000
Te1 0.0000 0.0000 0.5000
Rh1 0.0000 0.0000 0.0000
N2 0.0000 0.5000 0.0000

Question: Which formula does entry 1 have?
Answer: TeIrRhN2